[1]
Material: K4NaCl5
Method: DFT, meta-GGA SCAN
State: PBEsol geometry

Summary:
As for the uncorrected formation energy: -21.4 eV/f.u. The symmetry is No. 87. The energy relative to the lowest polymorph listed for this composition is 0.0058 eV per atom. The calculation puts the total magnetization at 0.00 μB per formula unit. For the calculated volume, the calculation gives 28.62 A^3/atom.

Cell: 6.146 7.484 7.484 Å, 80.29 65.76 65.76°
Element x y z (fractional)
K  0.596  0.605  0.203
K  0.201  0.203  0.395
K  0.799  0.797  0.605
K  0.404  0.395  0.797
Na  0.000  0.000  0.000
Cl  0.716  0.191  0.377
Cl  0.284  0.809  0.623
Cl  0.907  0.377  0.809
Cl  0.500  0.000  0.000
Cl  0.093  0.623  0.191

=====

[2]
Material: Mg3Rh
Method: DFT, meta-GGA SCAN
State: PBEsol geometry

Summary:
The symmetry is No. 221. For the formation energy, the calculation gives -0.313 eV per atom. The calculation puts the total magnetization at 0.08 μB per formula unit. For the calculated volume, the calculation gives 17.24 A^3/atom.

Cell: 4.100 4.100 4.100 Å, 90.00 90.00 90.00°
Element x y z (fractional)
Mg  0.000  0.500  0.500
Mg  0.500  0.000  0.500
Mg  0.500  0.500  0.000
Rh  0.000  0.000  0.000

=====

Question: Look up the calculated volume of the first one.
Answer: 28.62 A^3/atom

=====

Question: The lowest calculated volume belongs to which entry?
Answer: Mg3Rh

=====

Question: Which of these has the highest calculated volume?
Answer: K4NaCl5

=====

Question: Look up the calculated volume of the second one.
Answer: 17.24 A^3/atom